## MgSiW2 (PBE)

Data for a geometry-optimized MgSiW2 structure.

Calculated values
ρ = 11.39 g/cm3
volume = 15.304 Å³/atom
DOS at the Fermi energy = 0.208 states/eV per atom
energy relative to the elements, uncorrected = 200 meV/atom

Structure (CIF):
```
data_MgSiW2
_cell_length_a 6.256
_cell_length_b 6.256
_cell_length_c 6.256
_cell_angle_alpha 90.00
_cell_angle_beta 90.00
_cell_angle_gamma 90.00
_space_group_name_H-M_alt 'F -4 3 m'
_space_group_IT_number 216
_space_group_name_Hall 'F -4 2 3'
loop_
_atom_site_label
_atom_site_fract_x
_atom_site_fract_y
_atom_site_fract_z
_atom_site_occupancy
Mg1 0.000 0.000 0.000 1
Si1 0.250 0.250 0.750 1
W1 0.000 0.000 0.500 1
W2 0.250 0.250 0.250 1
```

***

## Tl2Re (PBE)

Data for a geometry-optimized Tl2Re structure.

Calculated values
ρ = 14.77 g/cm3
offset from the most stable computed form = 174 meV/atom
formation energy = 0.7400 eV/atom
volume = 22.303 Å³/atom
DOS at the Fermi energy = 0.883 states/eV per atom

Structure (CIF):
```
data_Tl2Re
_cell_length_a 7.002
_cell_length_b 7.002
_cell_length_c 5.459
_cell_angle_alpha 90.00
_cell_angle_beta 90.00
_cell_angle_gamma 90.00
_space_group_name_H-M_alt 'I 4/m c m'
_space_group_IT_number 140
_space_group_name_Hall '-I 4 2c'
loop_
_atom_site_label
_atom_site_fract_x
_atom_site_fract_y
_atom_site_fract_z
_atom_site_occupancy
Tl1 0.171 0.329 0.000 1
Re1 0.000 0.000 0.250 1
```

***

## TcOs2Au (PBE)

Data for a geometry-optimized TcOs2Au structure.

Calculated values
ρ = 18.35 g/cm3
offset from the most stable computed form = 23 meV/atom
formation energy = 0.2669 eV/atom
volume = 15.281 Å³/atom
DOS at the Fermi energy = 0.810 states/eV per atom

Structure (CIF):
```
data_TcOs2Au
_cell_length_a 2.7690
_cell_length_b 2.7690
_cell_length_c 27.6161
_cell_angle_alpha 90.00
_cell_angle_beta 90.00
_cell_angle_gamma 120.00
_space_group_name_H-M_alt 'R 3 m'
_space_group_IT_number 160
_space_group_name_Hall 'R 3 -2"'
loop_
_atom_site_label
_atom_site_fract_x
_atom_site_fract_y
_atom_site_fract_z
_atom_site_occupancy
Tc1 0.0000 0.0000 0.0000 1
Os1 0.0000 0.0000 0.2564 1
Os2 0.0000 0.0000 0.5117 1
Au1 0.0000 0.0000 0.7557 1
```